VASP calculation (PBE) on a relaxed Sc2OsW crystal.

Output
Size of the total moment (Bohr magnetons per cell): 0.23
ΔE to the lowest computed polymorph (eV per atom): 0.5564
ΔE_f (meV per atom): 454
Crystal system: trigonal
E (eV/atom): -8.757

abc: 9.899 9.899 9.899
angles: 17.15 17.15 17.15
Element x y z (fractional)
Sc  0.094  0.094  0.094
Sc  0.906  0.906  0.906
Os  0.500  0.500  0.500
W  0.000  0.000  0.000

---

VASP calculation (PBE) on a relaxed ScOs2W crystal.

Output
Size of the total moment (Bohr magnetons per cell): 0.00
ΔE_f (meV per atom): 526
Crystal system: tetragonal
E (eV/atom): -9.910

abc: 5.804 5.804 5.804
angles: 103.10 103.10 123.13
Element x y z (fractional)
Sc  0.000  0.000  0.000
Sc  0.750  0.250  0.500
Os  0.160  0.625  0.035
Os  0.375  0.410  0.535
Os  0.590  0.125  0.965
Os  0.875  0.840  0.465
W  0.250  0.750  0.500
W  0.500  0.500  0.000